(1)
## Sc5Pb4C (GGA-PBE)

Data for an optimized crystal structure of Sc5Pb4C.

Results
energy of formation from the pure elements	-0.28	eV/atom

Cell lengths 8.992, 8.992, 5.889 Å; angles 90.00, 90.00, 90.00 degrees
Space group I4 (No. 79)
Unique sites:
Sc1 0.000 0.000 0.000 [2 per cell]
Sc2 0.109 0.777 0.571 [8 per cell]
Pb1 0.061 0.668 0.075 [8 per cell]
C1 0.000 0.000 0.617 [2 per cell]

(2)
## Sc6Pb2C (GGA-PBE)

Data for an optimized crystal structure of Sc6Pb2C.

Results
energy of formation from the pure elements	-0.49	eV/atom

Cell lengths 6.475, 6.475, 9.149 Å; angles 90.00, 90.00, 90.00 degrees
Space group I4/mmm (No. 139)
Unique sites:
Sc1 0.000 0.000 0.245 [4 per cell]
Sc2 0.244 0.244 0.000 [8 per cell]
Pb1 0.000 0.500 0.250 [4 per cell]
C1 0.000 0.000 0.000 [2 per cell]

(3)
## ScPb3C (GGA-PBE)

Data for an optimized crystal structure of ScPb3C.

Results
energy of formation from the pure elements	0.91	eV/atom
excess energy over the best structure of this formula in the dataset	0	meV per atom

Cell lengths 5.022, 5.022, 5.022 Å; angles 90.00, 90.00, 90.00 degrees
Space group Pm-3m (No. 221)
Unique sites:
Sc1 0.000 0.000 0.000 [1 per cell]
Pb1 0.000 0.500 0.500 [3 per cell]
C1 0.500 0.500 0.500 [1 per cell]

(4)
## ScPbC2 (GGA-PBE)

Data for an optimized crystal structure of ScPbC2.

Results
energy of formation from the pure elements	1.00	eV/atom

Cell lengths 5.676, 5.676, 8.520 Å; angles 90.00, 90.00, 90.00 degrees
Space group I-42d (No. 122)
Unique sites:
Sc1 0.000 0.000 0.000 [4 per cell]
Pb1 0.000 0.000 0.500 [4 per cell]
C1 0.242 0.250 0.125 [8 per cell]

(5)
## Sc7Pb4C (GGA-PBE)

Data for an optimized crystal structure of Sc7Pb4C.

Results
energy of formation from the pure elements	-0.17	eV/atom

Cell lengths 15.504, 4.721, 10.751 Å; angles 90.00, 128.53, 90.00 degrees
Space group C2/m (No. 12)
Unique sites:
Sc1 0.000 0.000 0.000 [2 per cell]
Sc2 0.060 0.500 0.239 [4 per cell]
Sc3 0.133 0.000 0.543 [4 per cell]
Sc4 0.228 0.500 0.868 [4 per cell]
Pb1 0.085 0.000 0.781 [4 per cell]
Pb2 0.223 0.000 0.350 [4 per cell]
C1 0.000 0.500 0.000 [2 per cell]

(6)
## Sc9Pb3C2 (GGA-PBE)

Data for an optimized crystal structure of Sc9Pb3C2.

Results
energy of formation from the pure elements	-0.55	eV/atom

Cell lengths 6.4640, 6.4640, 7.9303 Å; angles 90.00, 90.00, 120.00 degrees
Space group P-3m1 (No. 164)
Unique sites:
Sc1 0.0000 0.5000 0.0000 [3 per cell]
Sc2 0.1700 0.3401 0.6706 [6 per cell]
Pb1 0.0000 0.0000 0.0000 [1 per cell]
Pb2 0.3333 0.6667 0.3347 [2 per cell]
C1 0.3333 0.6667 0.8330 [2 per cell]

(7)
## ScPbC (GGA-PBE)

Data for an optimized crystal structure of ScPbC.

Results
energy of formation from the pure elements	0.21	eV/atom

Cell lengths 3.567, 4.399, 16.602 Å; angles 90.00, 90.00, 90.00 degrees
Space group Immm (No. 71)
Unique sites:
Sc1 0.000 0.000 0.097 [4 per cell]
Pb1 0.000 0.000 0.309 [4 per cell]
C1 0.000 0.355 0.000 [4 per cell]

(8)
## ScPbCSe2 (GGA-PBE)

Data for an optimized crystal structure of ScPbCSe2.

Results
E_form (uncorrected)	1.800	eV/atom

Cell lengths 5.445, 5.445, 5.633 Å; angles 90.00, 90.00, 90.00 degrees
Space group P4/mmm (No. 123)
Unique sites:
Sc1 0.000 0.000 0.000 [1 per cell]
Pb1 0.000 0.000 0.500 [1 per cell]
C1 0.500 0.500 0.000 [1 per cell]
Se1 0.000 0.500 0.500 [2 per cell]

(9)
## Sm2Sc2Pb2C (GGA-PBE)

Data for an optimized crystal structure of Sm2Sc2Pb2C.

Results
energy of formation from the pure elements	-0.68	eV/atom

Cell lengths 4.608, 4.608, 16.240 Å; angles 90.00, 90.00, 90.00 degrees
Space group I4/mmm (No. 139)
Unique sites:
Sm1 0.000 0.000 0.158 [4 per cell]
Sc1 0.000 0.500 0.000 [4 per cell]
Pb1 0.000 0.000 0.365 [4 per cell]
C1 0.000 0.000 0.000 [2 per cell]

(10)
## Sc6SnPb2C (GGA-PBE)

Data for an optimized crystal structure of Sc6SnPb2C.

Results
energy of formation from the pure elements	-0.18	eV/atom

Cell lengths 5.023, 5.023, 9.740 Å; angles 90.00, 90.00, 90.00 degrees
Space group P4/mmm (No. 123)
Unique sites:
Sc1 0.000 0.000 0.219 [2 per cell]
Sc2 0.000 0.500 0.000 [2 per cell]
Sc3 0.000 0.500 0.500 [2 per cell]
Sn1 0.000 0.000 0.500 [1 per cell]
Pb1 0.500 0.500 0.243 [2 per cell]
C1 0.000 0.000 0.000 [1 per cell]

(11)
## Sc4SnPbC (GGA-PBE)

Data for an optimized crystal structure of Sc4SnPbC.

Results
energy of formation from the pure elements	-0.68	eV/atom

Cell lengths 6.339, 15.078, 6.338 Å; angles 90.00, 90.00, 90.00 degrees
Space group Cmcm (No. 63)
Unique sites:
Sc1 0.000 0.096 0.250 [4 per cell]
Sc2 0.000 0.402 0.250 [4 per cell]
Sc3 0.250 0.250 0.000 [8 per cell]
Sn1 0.000 0.107 0.750 [4 per cell]
Pb1 0.000 0.396 0.750 [4 per cell]
C1 0.000 0.249 0.250 [4 per cell]

(12)
## SrSc2PbC (GGA-PBE)

Data for an optimized crystal structure of SrSc2PbC.

Results
energy of formation from the pure elements	-0.33	eV/atom

Cell lengths 4.672, 4.672, 5.223 Å; angles 90.00, 90.00, 90.00 degrees
Space group P4/mmm (No. 123)
Unique sites:
Sr1 0.000 0.000 0.000 [1 per cell]
Sc1 0.000 0.500 0.500 [2 per cell]
Pb1 0.500 0.500 0.000 [1 per cell]
C1 0.000 0.000 0.500 [1 per cell]

(13)
## Sc2TaPbC (GGA-PBE)

Data for an optimized crystal structure of Sc2TaPbC.

Results
energy of formation from the pure elements	-0.38	eV/atom

Cell lengths 4.623, 4.623, 4.276 Å; angles 90.00, 90.00, 90.00 degrees
Space group P4/mmm (No. 123)
Unique sites:
Sc1 0.000 0.500 0.000 [2 per cell]
Ta1 0.000 0.000 0.500 [1 per cell]
Pb1 0.500 0.500 0.500 [1 per cell]
C1 0.000 0.000 0.000 [1 per cell]

(14)
## TbSc2PbC (GGA-PBE)

Data for an optimized crystal structure of TbSc2PbC.

Results
energy of formation from the pure elements	-0.60	eV/atom

Cell lengths 4.606, 4.606, 4.912 Å; angles 90.00, 90.00, 90.00 degrees
Space group P4/mmm (No. 123)
Unique sites:
Tb1 0.000 0.000 0.000 [1 per cell]
Sc1 0.000 0.500 0.500 [2 per cell]
Pb1 0.500 0.500 0.000 [1 per cell]
C1 0.000 0.000 0.500 [1 per cell]

(15)
## ScTi2PbC (GGA-PBE)

Data for an optimized crystal structure of ScTi2PbC.

Results
energy of formation from the pure elements	-0.48	eV/atom

Cell lengths 4.286, 4.286, 4.551 Å; angles 90.00, 90.00, 90.00 degrees
Space group P4/mmm (No. 123)
Unique sites:
Sc1 0.000 0.000 0.000 [1 per cell]
Ti1 0.000 0.500 0.500 [2 per cell]
Pb1 0.500 0.500 0.000 [1 per cell]
C1 0.000 0.000 0.500 [1 per cell]

(16)
## Sc4TlPbC (GGA-PBE)

Data for an optimized crystal structure of Sc4TlPbC.

Results
energy of formation from the pure elements	-0.50	eV/atom

Cell lengths 6.373, 15.038, 6.370 Å; angles 90.00, 90.00, 90.00 degrees
Space group Cmcm (No. 63)
Unique sites:
Sc1 0.000 0.094 0.250 [4 per cell]
Sc2 0.000 0.404 0.250 [4 per cell]
Sc3 0.250 0.250 0.000 [8 per cell]
Tl1 0.000 0.108 0.750 [4 per cell]
Pb1 0.000 0.394 0.750 [4 per cell]
C1 0.000 0.249 0.250 [4 per cell]

(17)
## Tm3ScPb2C (GGA-PBE)

Data for an optimized crystal structure of Tm3ScPb2C.

Results
energy of formation from the pure elements	-0.61	eV/atom

Cell lengths 4.571, 4.733, 15.824 Å; angles 90.00, 90.00, 90.00 degrees
Space group Immm (No. 71)
Unique sites:
Tm1 0.000 0.000 0.000 [2 per cell]
Tm2 0.000 0.500 0.156 [4 per cell]
Sc1 0.000 0.000 0.500 [2 per cell]
Pb1 0.000 0.500 0.358 [4 per cell]
C1 0.000 0.500 0.000 [2 per cell]

(18)
## Tm2Sc2Pb2C (GGA-PBE)

Data for an optimized crystal structure of Tm2Sc2Pb2C.

Results
energy of formation from the pure elements	-0.66	eV/atom

Cell lengths 4.553, 4.553, 15.719 Å; angles 90.00, 90.00, 90.00 degrees
Space group I4/mmm (No. 139)
Unique sites:
Tm1 0.000 0.000 0.156 [4 per cell]
Sc1 0.000 0.500 0.000 [4 per cell]
Pb1 0.000 0.000 0.360 [4 per cell]
C1 0.000 0.000 0.000 [2 per cell]

(19)
## TmSc2PbC (GGA-PBE)

Data for an optimized crystal structure of TmSc2PbC.

Results
energy of formation from the pure elements	-0.63	eV/atom

Cell lengths 4.592, 4.592, 4.802 Å; angles 90.00, 90.00, 90.00 degrees
Space group P4/mmm (No. 123)
Unique sites:
Tm1 0.000 0.000 0.000 [1 per cell]
Sc1 0.000 0.500 0.500 [2 per cell]
Pb1 0.500 0.500 0.000 [1 per cell]
C1 0.000 0.000 0.500 [1 per cell]

(20)
## Sc2VPbC (GGA-PBE)

Data for an optimized crystal structure of Sc2VPbC.

Results
energy of formation from the pure elements	-0.43	eV/atom

Cell lengths 4.593, 4.593, 4.108 Å; angles 90.00, 90.00, 90.00 degrees
Space group P4/mmm (No. 123)
Unique sites:
Sc1 0.000 0.500 0.000 [2 per cell]
V1 0.000 0.000 0.500 [1 per cell]
Pb1 0.500 0.500 0.500 [1 per cell]
C1 0.000 0.000 0.000 [1 per cell]